# TaRe3Bi (meta-GGA SCAN, single point on PBEsol structure)
data_TaRe3Bi
_chemical_formula_sum 'Ta1 Re3 Bi1'
_cell_length_a 4.787
_cell_length_b 4.787
_cell_length_c 4.787
_cell_angle_alpha 90.00
_cell_angle_beta 90.00
_cell_angle_gamma 90.00
_symmetry_space_group_name_H-M 'P 1'
_symmetry_Int_Tables_number 1
loop_
_symmetry_equiv_pos_as_xyz
'x,y,z'
loop_
_atom_site_label
_atom_site_fract_x
_atom_site_fract_y
_atom_site_fract_z
_atom_site_occupancy
Ta1 0.000 0.000 0.000 1
Re1 0.000 0.000 0.500 1
Re2 0.000 0.500 0.000 1
Re3 0.500 0.000 0.000 1
Bi1 0.500 0.500 0.500 1
# space-group type = Pm-3m (221)
# energy = -347.40 eV for the cell shown


# TaReBiW2 (meta-GGA SCAN, single point on PBEsol structure)
data_TaReBiW2
_chemical_formula_sum 'Ta1 Re1 Bi1 W2'
_cell_length_a 4.815
_cell_length_b 4.815
_cell_length_c 4.799
_cell_angle_alpha 90.00
_cell_angle_beta 90.00
_cell_angle_gamma 90.00
_symmetry_space_group_name_H-M 'P 1'
_symmetry_Int_Tables_number 1
loop_
_symmetry_equiv_pos_as_xyz
'x,y,z'
loop_
_atom_site_label
_atom_site_fract_x
_atom_site_fract_y
_atom_site_fract_z
_atom_site_occupancy
Ta1 0.000 0.000 0.000 1
Re1 0.000 0.000 0.500 1
Bi1 0.500 0.500 0.500 1
W1 0.000 0.500 0.000 1
W2 0.500 0.000 0.000 1
# space-group type = P4/mmm (123)
# energy = -344.16 eV for the cell shown


# ReTcBi3 (meta-GGA SCAN, single point on PBEsol structure)
data_ReTcBi3
_chemical_formula_sum 'Re1 Tc1 Bi3'
_cell_length_a 5.234
_cell_length_b 5.234
_cell_length_c 5.234
_cell_angle_alpha 90.00
_cell_angle_beta 90.00
_cell_angle_gamma 90.00
_symmetry_space_group_name_H-M 'P 1'
_symmetry_Int_Tables_number 1
loop_
_symmetry_equiv_pos_as_xyz
'x,y,z'
loop_
_atom_site_label
_atom_site_fract_x
_atom_site_fract_y
_atom_site_fract_z
_atom_site_occupancy
Re1 0.000 0.000 0.000 1
Tc1 0.500 0.500 0.500 1
Bi1 0.000 0.000 0.500 1
Bi2 0.000 0.500 0.000 1
Bi3 0.500 0.000 0.000 1
# space-group type = Pm-3m (221)
# energy = -334.02 eV for the cell shown


# ReTc2BiW (meta-GGA SCAN, single point on PBEsol structure)
data_ReTc2BiW
_chemical_formula_sum 'Re1 Tc2 Bi1 W1'
_cell_length_a 4.738
_cell_length_b 4.738
_cell_length_c 4.812
_cell_angle_alpha 90.00
_cell_angle_beta 90.00
_cell_angle_gamma 90.00
_symmetry_space_group_name_H-M 'P 1'
_symmetry_Int_Tables_number 1
loop_
_symmetry_equiv_pos_as_xyz
'x,y,z'
loop_
_atom_site_label
_atom_site_fract_x
_atom_site_fract_y
_atom_site_fract_z
_atom_site_occupancy
Re1 0.000 0.000 0.000 1
Tc1 0.000 0.500 0.500 1
Tc2 0.500 0.000 0.500 1
Bi1 0.000 0.000 0.500 1
W1 0.500 0.500 0.000 1
# space-group type = P4/mmm (123)
# energy = -273.31 eV for the cell shown


# ReBiTe3 (meta-GGA SCAN, single point on PBEsol structure)
data_ReBiTe3
_chemical_formula_sum 'Re1 Bi1 Te3'
_cell_length_a 5.762
_cell_length_b 5.762
_cell_length_c 5.762
_cell_angle_alpha 90.00
_cell_angle_beta 90.00
_cell_angle_gamma 90.00
_symmetry_space_group_name_H-M 'P 1'
_symmetry_Int_Tables_number 1
loop_
_symmetry_equiv_pos_as_xyz
'x,y,z'
loop_
_atom_site_label
_atom_site_fract_x
_atom_site_fract_y
_atom_site_fract_z
_atom_site_occupancy
Re1 0.000 0.000 0.000 1
Bi1 0.500 0.500 0.500 1
Te1 0.000 0.500 0.500 1
Te2 0.500 0.000 0.500 1
Te3 0.500 0.500 0.000 1
# space-group type = Pm-3m (221)
# energy = -252.59 eV for the cell shown


# ReBi3Te (meta-GGA SCAN, single point on PBEsol structure)
data_ReBi3Te
_chemical_formula_sum 'Re1 Bi3 Te1'
_cell_length_a 5.276
_cell_length_b 5.276
_cell_length_c 5.276
_cell_angle_alpha 90.00
_cell_angle_beta 90.00
_cell_angle_gamma 90.00
_symmetry_space_group_name_H-M 'P 1'
_symmetry_Int_Tables_number 1
loop_
_symmetry_equiv_pos_as_xyz
'x,y,z'
loop_
_atom_site_label
_atom_site_fract_x
_atom_site_fract_y
_atom_site_fract_z
_atom_site_occupancy
Re1 0.000 0.000 0.000 1
Bi1 0.000 0.000 0.500 1
Bi2 0.000 0.500 0.000 1
Bi3 0.500 0.000 0.000 1
Te1 0.500 0.500 0.500 1
# space-group type = Pm-3m (221)
# energy = -340.78 eV for the cell shown


# TiReBi3 (meta-GGA SCAN, single point on PBEsol structure)
data_TiReBi3
_chemical_formula_sum 'Ti1 Re1 Bi3'
_cell_length_a 5.274
_cell_length_b 5.274
_cell_length_c 5.274
_cell_angle_alpha 90.00
_cell_angle_beta 90.00
_cell_angle_gamma 90.00
_symmetry_space_group_name_H-M 'P 1'
_symmetry_Int_Tables_number 1
loop_
_symmetry_equiv_pos_as_xyz
'x,y,z'
loop_
_atom_site_label
_atom_site_fract_x
_atom_site_fract_y
_atom_site_fract_z
_atom_site_occupancy
Ti1 0.000 0.000 0.000 1
Re1 0.500 0.500 0.500 1
Bi1 0.000 0.500 0.500 1
Bi2 0.500 0.000 0.500 1
Bi3 0.500 0.500 0.000 1
# space-group type = Pm-3m (221)
# energy = -317.32 eV for the cell shown


# ZnRe3Bi (meta-GGA SCAN, single point on PBEsol structure)
data_ZnRe3Bi
_chemical_formula_sum 'Zn1 Re3 Bi1'
_cell_length_a 4.915
_cell_length_b 4.915
_cell_length_c 4.915
_cell_angle_alpha 90.00
_cell_angle_beta 90.00
_cell_angle_gamma 90.00
_symmetry_space_group_name_H-M 'P 1'
_symmetry_Int_Tables_number 1
loop_
_symmetry_equiv_pos_as_xyz
'x,y,z'
loop_
_atom_site_label
_atom_site_fract_x
_atom_site_fract_y
_atom_site_fract_z
_atom_site_occupancy
Zn1 0.000 0.000 0.000 1
Re1 0.000 0.500 0.500 1
Re2 0.500 0.000 0.500 1
Re3 0.500 0.500 0.000 1
Bi1 0.500 0.500 0.500 1
# space-group type = Pm-3m (221)
# energy = -288.47 eV for the cell shown


# Zn3ReBi (meta-GGA SCAN, single point on PBEsol structure)
data_Zn3ReBi
_chemical_formula_sum 'Zn3 Re1 Bi1'
_cell_length_a 4.775
_cell_length_b 4.775
_cell_length_c 4.775
_cell_angle_alpha 90.00
_cell_angle_beta 90.00
_cell_angle_gamma 90.00
_symmetry_space_group_name_H-M 'P 1'
_symmetry_Int_Tables_number 1
loop_
_symmetry_equiv_pos_as_xyz
'x,y,z'
loop_
_atom_site_label
_atom_site_fract_x
_atom_site_fract_y
_atom_site_fract_z
_atom_site_occupancy
Zn1 0.000 0.000 0.500 1
Zn2 0.000 0.500 0.000 1
Zn3 0.500 0.000 0.000 1
Re1 0.000 0.000 0.000 1
Bi1 0.500 0.500 0.500 1
# E above lowest polymorph = 0 meV/atom
# space-group type = Pm-3m (221)


# ZrRe3Bi (meta-GGA SCAN, single point on PBEsol structure)
data_ZrRe3Bi
_chemical_formula_sum 'Zr1 Re3 Bi1'
_cell_length_a 4.848
_cell_length_b 4.848
_cell_length_c 4.848
_cell_angle_alpha 90.00
_cell_angle_beta 90.00
_cell_angle_gamma 90.00
_symmetry_space_group_name_H-M 'P 1'
_symmetry_Int_Tables_number 1
loop_
_symmetry_equiv_pos_as_xyz
'x,y,z'
loop_
_atom_site_label
_atom_site_fract_x
_atom_site_fract_y
_atom_site_fract_z
_atom_site_occupancy
Zr1 0.000 0.000 0.000 1
Re1 0.000 0.500 0.500 1
Re2 0.500 0.000 0.500 1
Re3 0.500 0.500 0.000 1
Bi1 0.500 0.500 0.500 1
# space-group type = Pm-3m (221)
# energy = -309.11 eV for the cell shown


Q: Which formula does entry 2 have?
A: TaReBiW2